Computed, not measured: a relaxed structure of K2Th2Se5 at the PBE-GGA level of DFT.

Output
Total magnetic moment (μB per formula unit): 0.00
E_tot (eV for the cell shown): -196.98
Raw formation energy (meV per atom): -1643

CIF file:
```
data_K2Th2Se5
_space_group_name_H-M_alt 'C m c e'
_space_group_IT_number 64
_space_group_name_Hall '-C 2ac 2'
_cell_length_a 16.1596
_cell_length_b 8.2008
_cell_length_c 8.2041
_cell_angle_alpha 90.00
_cell_angle_beta 90.00
_cell_angle_gamma 90.00
loop_
_atom_site_label
_atom_site_type_symbol
_atom_site_fract_x
_atom_site_fract_y
_atom_site_fract_z
K1 K 0.2041 0.0000 0.0000
Th1 Th 0.0000 0.1633 0.3366
Se1 Se 0.0000 0.0000 0.0000
Se2 Se 0.1151 0.1443 0.6441
```